Entry 1:
{"formula": "Sr2FeRe", "functional": "GGA-PBE", "state": "optimized geometry", "cell": [[2.976, 0.000, 0.000], [0.000, 4.886, 0.000], [0.000, 0.000, 6.378]], "species": ["Fe", "Re", "Sr", "Sr"], "frac_coords": [[0.500, 0.500, 0.250], [0.500, 0.500, 0.750], [0.000, 0.000, 0.998], [0.000, 0.000, 0.502]], "space_group": "No. 47", "crystal_system": "orthorhombic", "density_g_cm3": 7.5}



Entry 2:
{"formula": "SrFeRe2", "functional": "GGA-PBE", "state": "optimized geometry", "cell": [[-2.434, 3.207, -2.213], [1.601, -1.553, -4.016], [-2.094, -2.877, 2.906]], "species": ["Fe", "Re", "Re", "Sr"], "frac_coords": [[0.750, 0.250, 0.500], [0.000, 0.000, 0.000], [0.250, 0.750, 0.500], [0.500, 0.500, 0.000]], "space_group": "No. 216", "crystal_system": "cubic", "density_g_cm3": 12.5}



Entry 3:
{"formula": "SrFe3Re", "functional": "GGA-PBE", "state": "optimized geometry", "cell": [[-0.718, 0.916, -4.532], [-3.776, -2.763, 0.040], [-2.668, 3.663, 1.164]], "species": ["Re", "Fe", "Fe", "Fe", "Sr"], "frac_coords": [[0.000, 0.000, 0.000], [0.000, 0.500, 0.000], [0.000, 0.000, 0.500], [0.500, 0.000, 0.000], [0.500, 0.500, 0.500]], "space_group": "No. 221", "crystal_system": "cubic", "density_g_cm3": 7.2}



Entry 4:
{"formula": "Sr4FeRe", "functional": "GGA-PBE", "state": "optimized geometry", "cell": [[-4.379, -3.625, -3.332], [-5.941, 2.479, -1.404], [-1.530, 1.571, -6.213]], "species": ["Sr", "Sr", "Sr", "Sr", "Fe", "Re"], "frac_coords": [[0.876, 0.375, 0.375], [0.375, 0.375, 0.876], [0.375, 0.876, 0.375], [0.375, 0.375, 0.375], [0.750, 0.750, 0.750], [0.000, 0.000, 0.000]], "space_group": "No. 216", "crystal_system": "cubic", "density_g_cm3": 4.9}



Entry 5:
{"formula": "SrFeRe3", "functional": "GGA-PBE", "state": "optimized geometry", "cell": [[4.687, 0.000, 0.000], [0.000, 4.687, 0.000], [0.000, 0.000, 4.687]], "species": ["Re", "Re", "Re", "Fe", "Sr"], "frac_coords": [[0.000, 0.500, 0.000], [0.000, 0.000, 0.500], [0.500, 0.000, 0.000], [0.500, 0.500, 0.500], [0.000, 0.000, 0.000]], "space_group": "No. 221", "crystal_system": "cubic", "density_g_cm3": 11.3}



Entry 6:
{"formula": "Sr2FeRe", "functional": "GGA-PBE", "state": "optimized geometry", "cell": [[4.792, 0.000, 0.000], [0.000, 4.420, 0.000], [0.000, 0.000, 4.420]], "species": ["Fe", "Re", "Sr", "Sr"], "frac_coords": [[0.500, 0.500, 0.000], [0.500, 0.000, 0.500], [0.000, 0.000, 0.000], [0.000, 0.500, 0.500]], "space_group": "No. 123", "crystal_system": "tetragonal", "density_g_cm3": 7.4}



Entry 7:
{"formula": "Sr2FeRe", "functional": "GGA-PBE", "state": "optimized geometry", "cell": [[5.533, 0.000, 0.000], [0.000, 5.533, 0.000], [0.000, 0.000, 3.326]], "species": ["Fe", "Re", "Sr", "Sr"], "frac_coords": [[0.500, 0.000, 0.500], [0.000, 0.500, 0.500], [0.000, 0.000, 0.000], [0.500, 0.500, 0.000]], "space_group": "No. 123", "crystal_system": "tetragonal", "density_g_cm3": 6.8}



Entry 8:
{"formula": "SrFeRe2", "functional": "GGA-PBE", "state": "optimized geometry", "cell": [[0.000, 3.194, 3.194], [3.194, 0.000, 3.194], [3.194, 3.194, 0.000]], "species": ["Re", "Re", "Fe", "Sr"], "frac_coords": [[0.250, 0.250, 0.250], [0.750, 0.750, 0.750], [0.000, 0.000, 0.000], [0.500, 0.500, 0.500]], "space_group": "No. 225", "crystal_system": "cubic", "density_g_cm3": 13.1}



Entry 9:
{"formula": "Sr2FeRe", "functional": "GGA-PBE", "state": "optimized geometry", "cell": [[-10.107, -2.111, 1.632], [-9.544, -4.193, -0.788], [-8.873, -5.040, 2.268]], "species": ["Fe", "Re", "Sr", "Sr"], "frac_coords": [[0.250, 0.250, 0.250], [0.750, 0.750, 0.750], [0.001, 0.001, 0.001], [0.499, 0.499, 0.499]], "space_group": "No. 166", "crystal_system": "trigonal", "density_g_cm3": 7.4}



Entry 10:
{"formula": "Sr2FeRe", "functional": "GGA-PBE", "state": "optimized geometry", "cell": [[-0.364, 3.951, 0.631], [-1.766, 2.321, -2.763], [-8.438, 0.800, 3.099]], "species": ["Fe", "Re", "Sr", "Sr"], "frac_coords": [[0.544, 0.544, 0.366], [0.206, 0.206, 0.381], [0.964, 0.964, 0.110], [0.785, 0.785, 0.642]], "space_group": "No. 8", "crystal_system": "monoclinic", "density_g_cm3": 5.7}



Entry 11:
{"formula": "SrFeRe2", "functional": "GGA-PBE", "state": "optimized geometry", "cell": [[5.684, 0.058, 0.000], [3.089, 4.772, 0.000], [-4.387, -2.415, 2.691]], "species": ["Fe", "Re", "Re", "Sr"], "frac_coords": [[0.750, 0.250, 0.500], [0.000, 0.000, 0.000], [0.500, 0.500, 0.000], [0.250, 0.750, 0.500]], "space_group": "No. 139", "crystal_system": "tetragonal", "density_g_cm3": 11.8}



Entry 12:
{"formula": "SrFeRe2", "functional": "GGA-PBE", "state": "optimized geometry", "cell": [[-1.656, -4.138, 3.520], [1.150, -0.861, -5.495], [2.502, -0.490, 0.601]], "species": ["Fe", "Re", "Re", "Sr"], "frac_coords": [[0.000, 0.500, 0.500], [0.000, 0.000, 0.000], [0.500, 0.500, 0.000], [0.500, 0.000, 0.500]], "space_group": "No. 65", "crystal_system": "orthorhombic", "density_g_cm3": 12.1}



Entry 13:
{"formula": "Sr2FeRe", "functional": "GGA-PBE", "state": "optimized geometry", "cell": [[3.375, 0.000, 0.000], [0.000, 3.382, 0.077], [0.000, 3.204, 9.288]], "species": ["Fe", "Re", "Sr", "Sr"], "frac_coords": [[0.000, 0.412, 0.588], [0.500, 0.840, 0.660], [0.000, 0.074, 0.923], [0.500, 0.174, 0.328]], "space_group": "No. 6", "crystal_system": "monoclinic", "density_g_cm3": 6.6}



Entry 14:
{"formula": "SrFeRe2", "functional": "GGA-PBE", "state": "optimized geometry", "cell": [[-1.786, 2.206, 4.097], [1.876, -2.504, 2.166], [3.017, 2.318, 0.067]], "species": ["Fe", "Re", "Re", "Sr"], "frac_coords": [[0.500, 0.000, 0.500], [0.000, 0.000, 0.000], [0.000, 0.500, 0.500], [0.500, 0.500, 0.000]], "space_group": "No. 123", "crystal_system": "tetragonal", "density_g_cm3": 11.9}



Entry 15:
{"formula": "Sr2FeRe", "functional": "GGA-PBE", "state": "optimized geometry", "cell": [[3.030, 0.000, 0.000], [0.000, 3.030, 0.000], [0.000, 0.000, 9.956]], "species": ["Fe", "Re", "Sr", "Sr"], "frac_coords": [[0.500, 0.500, 0.250], [0.500, 0.500, 0.750], [0.000, 0.000, 0.000], [0.000, 0.000, 0.500]], "space_group": "No. 123", "crystal_system": "tetragonal", "density_g_cm3": 7.6}



Entry 16:
{"formula": "SrFeRe2", "functional": "GGA-PBE", "state": "optimized geometry", "cell": [[-1.288, 4.490, 1.454], [-2.163, 0.777, -4.318], [-8.718, -0.334, 1.537]], "species": ["Re", "Re", "Re", "Re", "Fe", "Fe", "Sr", "Sr"], "frac_coords": [[0.375, 0.125, 0.250], [0.375, 0.625, 0.250], [0.375, 0.625, 0.750], [0.875, 0.625, 0.750], [0.500, 0.500, 0.000], [0.250, 0.750, 0.500], [0.000, 0.000, 0.000], [0.750, 0.250, 0.500]], "space_group": "No. 141", "crystal_system": "tetragonal", "density_g_cm3": 8.8}



Entry 17:
{"formula": "SrFeRe2", "functional": "GGA-PBE", "state": "optimized geometry", "cell": [[3.153, 0.000, 0.000], [0.000, 3.158, 0.008], [0.000, 3.141, 7.659]], "species": ["Fe", "Re", "Re", "Sr"], "frac_coords": [[0.500, 0.680, 0.821], [0.000, 0.999, 0.001], [0.500, 0.321, 0.179], [0.000, 0.500, 0.500]], "space_group": "No. 99", "crystal_system": "tetragonal", "density_g_cm3": 11.2}



Entry 18:
{"formula": "SrFeRe2", "functional": "GGA-PBE", "state": "optimized geometry", "cell": [[-2.318, 0.613, 1.358], [-0.868, -3.261, -0.012], [3.707, -1.011, 6.783]], "species": ["Fe", "Re", "Re", "Sr"], "frac_coords": [[0.500, 0.500, 0.750], [0.000, 0.000, 0.918], [0.000, 0.000, 0.582], [0.500, 0.500, 0.250]], "space_group": "No. 47", "crystal_system": "orthorhombic", "density_g_cm3": 11.8}



Entry 19:
{"formula": "Sr2FeRe", "functional": "GGA-PBE", "state": "optimized geometry", "cell": [[5.256, 0.050, -0.020], [4.435, 2.821, -0.020], [0.465, 0.138, 6.370]], "species": ["Fe", "Re", "Sr", "Sr"], "frac_coords": [[0.750, 0.750, 0.750], [0.250, 0.250, 0.250], [0.996, 0.996, 0.002], [0.504, 0.504, 0.498]], "space_group": "No. 12", "crystal_system": "monoclinic", "density_g_cm3": 7.4}



Entry 20:
{"formula": "SrFeRe2", "functional": "GGA-PBE", "state": "optimized geometry", "cell": [[5.233, -0.024, -0.088], [-2.363, 5.222, 0.010], [0.508, 0.680, 2.540]], "species": ["Fe", "Re", "Re", "Sr"], "frac_coords": [[0.500, 0.500, 0.000], [0.000, 0.000, 0.000], [0.500, 0.000, 0.500], [0.000, 0.500, 0.500]], "space_group": "No. 12", "crystal_system": "monoclinic", "density_g_cm3": 12.3}



Entry 21:
{"formula": "SrFeRe2", "functional": "GGA-PBE", "state": "optimized geometry", "cell": [[-2.488, 0.837, 1.575], [-2.484, -2.932, -2.366], [0.971, -3.607, 3.451]], "species": ["Fe", "Re", "Re", "Sr"], "frac_coords": [[0.000, 0.500, 0.500], [0.000, 0.000, 0.000], [0.500, 0.500, 0.000], [0.500, 0.000, 0.500]], "space_group": "No. 47", "crystal_system": "orthorhombic", "density_g_cm3": 12.2}



Entry 22:
{"formula": "Sr2FeRe", "functional": "GGA-PBE", "state": "optimized geometry", "cell": [[7.033, 0.004, 0.016], [-2.888, 5.058, -0.010], [1.258, 0.724, 2.606]], "species": ["Fe", "Re", "Sr", "Sr"], "frac_coords": [[0.000, 0.500, 0.500], [0.500, 0.500, 0.000], [0.000, 0.000, 0.000], [0.500, 0.000, 0.500]], "space_group": "No. 65", "crystal_system": "orthorhombic", "density_g_cm3": 7.5}



Entry 23:
{"formula": "SrFeRe2", "functional": "GGA-PBE", "state": "optimized geometry", "cell": [[-9.648, 0.050, 2.617], [-9.585, -2.471, 1.395], [-8.854, -2.200, 4.087]], "species": ["Fe", "Re", "Re", "Sr"], "frac_coords": [[0.750, 0.750, 0.750], [0.015, 0.015, 0.015], [0.485, 0.485, 0.485], [0.250, 0.250, 0.250]], "space_group": "No. 166", "crystal_system": "trigonal", "density_g_cm3": 12.8}



Entry 24:
{"formula": "Sr2FeRe", "functional": "GGA-PBE", "state": "optimized geometry", "cell": [[-7.630, -1.484, -5.089], [-5.043, -5.661, -5.370], [5.270, 2.571, 7.207]], "species": ["Fe", "Re", "Sr", "Sr"], "frac_coords": [[0.750, 0.250, 0.500], [0.250, 0.750, 0.500], [0.104, 0.104, 0.000], [0.396, 0.396, 0.000]], "space_group": "No. 71", "crystal_system": "orthorhombic", "density_g_cm3": 6.4}



Entry 25:
{"formula": "Sr2FeRe", "functional": "GGA-PBE", "state": "optimized geometry", "cell": [[-3.286, 2.358, 3.384], [-5.184, 0.063, -0.968], [-3.269, -2.898, 2.955]], "species": ["Re", "Fe", "Sr", "Sr"], "frac_coords": [[0.500, 0.500, 0.500], [0.000, 0.000, 0.000], [0.250, 0.250, 0.250], [0.750, 0.750, 0.750]], "space_group": "No. 225", "crystal_system": "cubic", "density_g_cm3": 6.7}



Entry 26:
{"formula": "SrVFeRe2", "functional": "GGA-PBE", "state": "optimized geometry", "cell": [[4.625, 0.000, 0.000], [0.000, 4.429, 0.000], [0.000, 0.000, 4.625]], "species": ["Re", "Re", "V", "Fe", "Sr"], "frac_coords": [[0.000, 0.000, 0.500], [0.500, 0.000, 0.000], [0.000, 0.500, 0.000], [0.000, 0.000, 0.000], [0.500, 0.500, 0.500]], "space_group": "No. 123", "crystal_system": "tetragonal", "density_g_cm3": 9.9}



Entry 27:
{"formula": "TaFeRe", "functional": "GGA-PBE", "state": "optimized geometry", "cell": [[6.106, -0.002, 0.000], [4.872, 3.681, 0.000], [-5.489, -1.840, 1.942]], "species": ["Fe", "Re", "Ta"], "frac_coords": [[0.990, 0.990, 0.000], [0.352, 0.352, 0.000], [0.658, 0.658, 0.000]], "space_group": "No. 107", "crystal_system": "tetragonal", "density_g_cm3": 16.1}



Entry 28:
{"formula": "TaFeRe", "functional": "GGA-PBE", "state": "optimized geometry", "cell": [[-2.530, 2.166, -2.897], [3.120, -2.773, -1.435], [-1.771, -2.013, 0.041]], "species": ["Fe", "Re", "Ta"], "frac_coords": [[0.000, 0.000, 0.003], [0.667, 0.333, 0.327], [0.333, 0.667, 0.671]], "space_group": "No. 156", "crystal_system": "trigonal", "density_g_cm3": 15.5}



Entry 29:
{"formula": "TaFeRe3", "functional": "GGA-PBE", "state": "optimized geometry", "cell": [[-4.323, -0.806, 0.113], [0.312, -2.204, -3.794], [0.752, -3.720, 2.223]], "species": ["Re", "Re", "Re", "Fe", "Ta"], "frac_coords": [[0.000, 0.500, 0.000], [0.000, 0.000, 0.500], [0.500, 0.000, 0.000], [0.000, 0.000, 0.000], [0.500, 0.500, 0.500]], "space_group": "No. 221", "crystal_system": "cubic", "density_g_cm3": 15.5}



Entry 30:
{"formula": "TaFeRe3", "functional": "GGA-PBE", "state": "optimized geometry", "cell": [[-2.113, 1.770, -3.799], [-4.149, -0.280, 2.177], [0.594, 4.338, 1.691]], "species": ["Re", "Re", "Re", "Fe", "Ta"], "frac_coords": [[0.000, 0.500, 0.000], [0.000, 0.000, 0.500], [0.500, 0.000, 0.000], [0.500, 0.500, 0.500], [0.000, 0.000, 0.000]], "space_group": "No. 221", "crystal_system": "cubic", "density_g_cm3": 12.8}



Fermi-level density of states values, unit states/eV per atom, following the record order: 1.052 1.130 1.118 2.302 2.172 0.949 1.644 2.551 1.067 1.402 1.277 0.807 1.324 1.431 1.225 1.249 1.584 0.873 1.056 0.862 1.161 0.998 0.808 0.847 1.638 1.565 1.262 0.908 1.246 2.369.
Formation energy from the elements values, unit kJ per mole of atoms, following the record order: 116.5 96.4 91.6 162.7 399.7 122.1 122.7 143.1 130.0 32.8 120.0 108.6 59.1 118.8 115.8 109.6 56.5 71.4 129.1 98.9 102.4 116.7 86.2 63.5 123.5 109.2 -0.4 -0.6 122.3 267.1.